TaBiP4O14 | GGA-PBE | optimized geometry

a = 8.511 Å, b = 8.532 Å, c = 8.675 Å
α = 89.06°, β = 90.00°, γ = 90.00°
Atoms (fractional coordinates):
Ta1 0.000 0.000 0.000
Ta2 0.500 0.500 0.000
Bi1 0.000 0.500 0.500
Bi2 0.500 0.000 0.500
P1 0.616 0.113 0.089
P2 0.116 0.387 0.911
P3 0.412 0.601 0.373
P4 0.912 0.899 0.627
P5 0.384 0.887 0.911
P6 0.884 0.613 0.089
P7 0.588 0.399 0.627
P8 0.088 0.101 0.373
O1 0.780 0.075 0.026
O2 0.280 0.425 0.974
O3 0.237 0.587 0.398
O4 0.737 0.913 0.602
O5 0.478 0.765 0.371
O6 0.571 0.280 0.033
O7 0.071 0.220 0.967
O8 0.978 0.735 0.629
O9 0.104 0.409 0.740
O10 0.461 0.519 0.220
O11 0.604 0.091 0.260
O12 0.961 0.981 0.780
O13 0.220 0.925 0.974
O14 0.720 0.575 0.026
O15 0.763 0.413 0.602
O16 0.263 0.087 0.398
O17 0.522 0.235 0.629
O18 0.429 0.720 0.967
O19 0.929 0.780 0.033
O20 0.022 0.265 0.371
O21 0.896 0.591 0.260
O22 0.539 0.481 0.780
O23 0.396 0.909 0.740
O24 0.039 0.019 0.220
O25 0.500 0.000 0.000
O26 0.000 0.500 0.000
O27 0.500 0.500 0.500
O28 0.000 0.000 0.500

The calculated volume comes out at 629.9 Å³/cell. Its density of states at the Fermi level is 0.000 states/eV per atom. As for the space group: P2_1/c (14). The calculation puts the electronic total energy at -7.558 eV per atom.